VASP calculation (GGA-PBE) on an optimized crystal structure of RbScTc2O8.

abc: 5.849 5.849 7.845
angles: 90.00 90.00 120.00
Each line ends with the local moment (μB).
Fractional positions:
O 0.667 0.831 0.660  0.04
O 0.831 0.164 0.340  0.04
O 0.164 0.333 0.660  0.04
O 0.333 0.667 0.959  0.08
O 0.333 0.169 0.340  0.04
O 0.169 0.836 0.660  0.04
O 0.836 0.667 0.340  0.04
O 0.667 0.333 0.041  0.08
Rb 0.000 0.000 0.000  0.00
Tc 0.667 0.333 0.264  0.59
Tc 0.333 0.667 0.736  0.59
Sc 0.000 0.000 0.500  0.12

## Properties
Formation energy from raw total energies in eV/atom: -1.901
Crystal system: trigonal
Magnetic moment in μB/atom: 0.1600


VASP calculation (GGA-PBE) on an optimized crystal structure of TbY2ZrSc4.

abc: 4.788 4.806 10.480
angles: 62.71 90.00 90.00
Fractional positions:
Sc 0.000 0.761 0.739
Sc 0.000 0.239 0.261
Sc 0.500 0.739 0.261
Sc 0.500 0.261 0.739
Zr 0.000 0.500 0.500
Tb 0.500 0.500 0.000
Y 0.500 0.000 0.500
Y 0.000 0.000 0.000

## Properties
Crystal system: orthorhombic
Formation energy from the elements in meV per atom: 61
Magnetic moment in μB/atom: 0.0000


VASP calculation (GGA-PBE) on an optimized crystal structure of CdSn3Pd3.

abc: 7.148 7.148 7.148
angles: 68.43 68.43 68.43
Fractional positions:
Cd 0.667 0.667 0.667
Cd 0.333 0.333 0.333
Pd 0.395 0.718 0.054
Pd 0.054 0.395 0.718
Pd 0.605 0.282 0.946
Pd 0.282 0.946 0.605
Pd 0.718 0.054 0.395
Pd 0.946 0.605 0.282
Sn 0.580 0.883 0.204
Sn 0.883 0.204 0.580
Sn 0.117 0.796 0.420
Sn 0.796 0.420 0.117
Sn 0.420 0.117 0.796
Sn 0.204 0.580 0.883

## Properties
Crystal system: trigonal
Formation energy from the elements in meV per atom: -400
Magnetic moment in μB/atom: 0.0000


VASP calculation (GGA-PBE) on an optimized crystal structure of Ac3PrDy3.

abc: 9.954 9.954 8.422
angles: 53.78 53.78 60.00
Fractional positions:
Dy 0.532 0.815 0.253
Dy 0.468 0.185 0.747
Dy 0.600 0.468 0.747
Dy 0.400 0.532 0.253
Dy 0.815 0.400 0.253
Dy 0.185 0.600 0.747
Ac 0.324 0.884 0.748
Ac 0.676 0.116 0.252
Ac 0.956 0.676 0.252
Ac 0.884 0.044 0.748
Ac 0.044 0.324 0.748
Ac 0.116 0.956 0.252
Pr 0.257 0.257 0.229
Pr 0.743 0.743 0.771

## Properties
Crystal system: trigonal
Formation energy from the elements in meV per atom: 57
Magnetic moment in μB/atom: 0.0000


VASP calculation (GGA-PBE) on an optimized crystal structure of TbEuPtPb.

abc: 5.277 5.277 5.277
angles: 60.00 60.00 60.00
Each line ends with the local moment (μB).
Fractional positions:
Pt 0.750 0.750 0.750  -0.04
Pb 0.250 0.250 0.250  -0.02
Eu 0.500 0.500 0.500  6.76
Tb 0.000 0.000 0.000  -0.01

## Properties
Crystal system: cubic
Formation energy from the elements in meV per atom: -651
Magnetic moment in μB/atom: 1.7163


VASP calculation (GGA-PBE) on an optimized crystal structure of Sm3Y3Co4.

abc: 4.234 7.278 7.278
angles: 90.38 90.00 90.00
Fractional positions:
Co 0.000 0.397 0.603
Co 0.000 0.105 0.114
Co 0.000 0.886 0.895
Co 0.000 0.614 0.386
Y 0.500 0.672 0.670
Y 0.500 0.826 0.174
Y 0.500 0.330 0.328
Sm 0.500 0.169 0.831
Sm 0.000 0.001 0.500
Sm 0.000 0.500 0.999

## Properties
Crystal system: orthorhombic
Formation energy from the elements in meV per atom: -87
Magnetic moment in μB/atom: 0.0000


VASP calculation (GGA-PBE) on an optimized crystal structure of Ca2Cd4O.

abc: 4.706 4.706 9.103
angles: 75.02 75.02 90.00
Fractional positions:
Cd 0.861 0.861 0.278
Cd 0.500 0.000 0.000
Cd 0.139 0.139 0.722
Cd 0.000 0.500 0.000
O 0.000 0.000 0.000
Ca 0.328 0.328 0.344
Ca 0.672 0.672 0.656

## Properties
Formation energy from raw total energies in eV/atom: -0.279
Crystal system: tetragonal
Magnetic moment in μB/atom: 0.0000


VASP calculation (GGA-PBE) on an optimized crystal structure of PaMn4Sn.

abc: 5.106 5.106 5.106
angles: 60.00 60.00 60.00
Each line ends with the local moment (μB).
Fractional positions:
Mn 0.624 0.127 0.624  1.97
Mn 0.624 0.624 0.624  1.97
Mn 0.624 0.624 0.127  1.97
Mn 0.127 0.624 0.624  1.97
Sn 0.000 0.000 0.000  -0.09
Pa 0.250 0.250 0.250  -0.20

## Properties
Crystal system: cubic
Formation energy from the elements in meV per atom: 65
Magnetic moment in μB/atom: 1.2935


VASP calculation (GGA-PBE) on an optimized crystal structure of GeBSe2.

abc: 8.451 8.451 8.451
angles: 22.04 22.04 22.04
Fractional positions:
B 0.500 0.500 0.500
Se 0.886 0.886 0.886
Se 0.114 0.114 0.114
Ge 0.000 0.000 0.000

## Properties
ΔE to the lowest computed polymorph in kJ/mol of atoms: 14.8
Formation energy from raw total energies in eV/atom: 0.454
Crystal system: trigonal
Magnetic moment in μB/atom: 0.0000


VASP calculation (GGA-PBE) on an optimized crystal structure of NpMnGaIr.

abc: 4.624 4.624 4.624
angles: 60.00 60.00 60.00
Each line ends with the local moment (μB).
Fractional positions:
Ga 0.250 0.250 0.250  0.04
Np 0.000 0.000 0.000  3.73
Mn 0.750 0.750 0.750  3.53
Ir 0.500 0.500 0.500  0.19

## Properties
Crystal system: cubic
Formation energy from the elements in meV per atom: 160
Magnetic moment in μB/atom: 1.9703


VASP calculation (GGA-PBE) on an optimized crystal structure of TbBi2RhO6.

abc: 5.599 6.111 8.177
angles: 90.00 91.01 90.00
Fractional positions:
O 0.318 0.713 0.428
O 0.626 0.053 0.265
O 0.822 0.832 0.534
O 0.322 0.668 0.034
O 0.678 0.332 0.966
O 0.178 0.168 0.466
O 0.682 0.287 0.572
O 0.874 0.553 0.235
O 0.182 0.213 0.072
O 0.126 0.447 0.765
O 0.374 0.947 0.735
O 0.818 0.787 0.928
Tb 0.500 0.000 0.000
Tb 0.000 0.500 0.500
Rh 0.500 0.000 0.500
Rh 0.000 0.500 0.000
Bi 0.986 0.055 0.731
Bi 0.014 0.945 0.269
Bi 0.514 0.555 0.769
Bi 0.486 0.445 0.231

## Properties
Formation energy from raw total energies in eV/atom: -1.614
Crystal system: monoclinic
Magnetic moment in μB/atom: 0.0000


VASP calculation (GGA-PBE) on an optimized crystal structure of Sc3TlSb.

abc: 5.317 5.317 5.317
angles: 90.00 90.00 90.00
Fractional positions:
Sb 0.000 0.000 0.000
Tl 0.500 0.500 0.500
Sc 0.000 0.500 0.000
Sc 0.000 0.000 0.500
Sc 0.500 0.000 0.000

## Properties
ΔE to the lowest computed polymorph in kJ/mol of atoms: 46.8
Formation energy from raw total energies in eV/atom: 0.002
Crystal system: cubic
Magnetic moment in μB/atom: 0.0000


| no. | V (Å³ per atom) |
| --- | --- |
| 1 | 19.373 |
| 2 | 26.785 |
| 3 | 21.734 |
| 4 | 37.735 |
| 5 | 25.976 |
| 6 | 22.426 |
| 7 | 26.807 |
| 8 | 15.685 |
| 9 | 18.619 |
| 10 | 17.478 |
| 11 | 13.986 |
| 12 | 30.060 |